No. 1
Computed, not measured: a geometry-optimized Na2HfCdO4 structure at the GGA-PBE level of DFT.

Cell: 3.2481 5.8380 5.9030 Å, 110.59 90.00 90.00°
Positions (direct):
Na: 0.5000 0.0000 0.5000
O: 0.0000 0.7061 0.2140
O: 0.5000 0.7268 0.7920
Hf: 0.5000 0.5000 0.0000
O: 0.0000 0.2939 0.7860
O: 0.5000 0.2732 0.2080
Na: 0.0000 0.5000 0.5000
Cd: 0.0000 0.0000 0.0000

***

No. 2
Computed, not measured: a geometry-optimized Dy4NiBr5 structure at the GGA-PBE level of DFT.

Cell: 3.9317 8.4391 9.4552 Å, 102.41 102.00 90.00°
Positions (direct):
Dy: 0.6459 0.0775 0.2918
Br: 0.1776 0.8398 0.3552
Dy: 0.9993 0.7878 0.9986
Br: 0.8322 0.6634 0.6644
Ni: 0.5000 0.0000 0.0000
Dy: 0.3541 0.9225 0.7083
Dy: 0.0007 0.2122 0.0014
Br: 0.5000 0.5000 0.0000
Br: 0.1678 0.3366 0.3356
Br: 0.8224 0.1602 0.6448

Calculated values
- E above lowest polymorph (eV per atom) = 0.000

***

No. 3
Computed, not measured: a geometry-optimized Gd2CuBi structure at the GGA-PBE level of DFT.

Cell: 5.2724 5.2724 5.2724 Å, 60.00 60.00 60.00°
Each line ends with the local moment (μB).
Positions (direct):
Bi: 0.0000 0.0000 0.0000  -0.09
Cu: 0.5000 0.5000 0.5000  0.01
Gd: 0.7500 0.7500 0.7500  7.25
Gd: 0.2500 0.2500 0.2500  7.25

Calculated values
- E above lowest polymorph (eV per atom) = 0.030
- ΔE_f (meV/atom) = -394

***

No. 4
Computed, not measured: a geometry-optimized KNaTl2 structure at the GGA-PBE level of DFT.

Cell: 4.0689 4.0689 8.1863 Å, 90.00 90.00 90.00°
Positions (direct):
K: 0.5000 0.5000 0.5000
Tl: 0.0000 0.0000 0.7972
Tl: 0.0000 0.0000 0.2028
Na: 0.5000 0.5000 0.0000

Calculated values
- E above lowest polymorph (eV per atom) = 0.007
- ΔE_f (meV/atom) = -61

***

No. 5
Computed, not measured: a geometry-optimized BaCd8Au2 structure at the GGA-PBE level of DFT.

Cell: 6.0438 6.0438 9.7704 Å, 90.00 90.00 90.00°
Positions (direct):
Au: 0.5000 0.0000 0.0000
Au: 0.0000 0.5000 0.0000
Cd: 0.2483 0.2483 0.2005
Cd: 0.7517 0.7517 0.2005
Cd: 0.7517 0.2483 0.2005
Cd: 0.2483 0.7517 0.7995
Cd: 0.2483 0.7517 0.2005
Cd: 0.2483 0.2483 0.7995
Cd: 0.7517 0.7517 0.7995
Ba: 0.5000 0.5000 0.5000
Cd: 0.7517 0.2483 0.7995

Calculated values
- ΔE_f (meV/atom) = -16

***

No. 6
Computed, not measured: a geometry-optimized Cs4SF2 structure at the GGA-PBE level of DFT.

Cell: 8.7532 8.7532 8.7687 Å, 108.50 108.50 111.37°
Each line ends with the local moment (μB).
Positions (direct):
Cs: 0.3328 0.1484 0.8173  0.00
Cs: 0.3985 0.0828 0.3173  0.00
F: 0.1250 0.3749 0.7500  0.00
Cs: 0.7654 0.0811 0.6826  0.00
F: 0.6249 0.3751 0.2500  0.00
Cs: 0.9189 0.2346 0.3173  0.00
F: 0.6250 0.8750 0.2500  0.00
S: 0.2500 0.7500 0.5000  0.06
F: 0.6249 0.3751 0.7500  0.00
S: 0.0000 0.0000 0.0000  0.06
Cs: 0.9173 0.6015 0.6827  0.00
Cs: 0.4846 0.6689 0.8174  0.00
Cs: 0.8516 0.6672 0.1827  0.00
Cs: 0.3311 0.5154 0.1826  0.00

***

No. 7
Computed, not measured: a geometry-optimized CaSiPbO4 structure at the GGA-PBE level of DFT.

Cell: 5.9457 5.5913 7.1079 Å, 90.00 103.29 90.00°
Positions (direct):
Si: 0.7219 0.2500 0.6503
O: 0.4439 0.7500 0.1946
O: 0.1028 0.5151 0.3193
Si: 0.2781 0.7500 0.3497
O: 0.4362 0.7500 0.5730
O: 0.8972 0.0151 0.6807
Ca: 0.2036 0.2500 0.5866
O: 0.8972 0.4849 0.6807
Pb: 0.6976 0.7500 0.8603
O: 0.5561 0.2500 0.8054
O: 0.5638 0.2500 0.4270
Ca: 0.7964 0.7500 0.4134
O: 0.1028 0.9849 0.3193
Pb: 0.3024 0.2500 0.1397

***

No. 8
Computed, not measured: a geometry-optimized Tb4HgTe3 structure at the GGA-PBE level of DFT.

Cell: 4.2539 7.6437 7.6437 Å, 108.11 90.00 90.00°
Positions (direct):
Te: 0.0000 0.5000 0.0000
Hg: 0.5000 0.0000 0.0000
Tb: 0.0000 0.7612 0.7612
Te: 0.5000 0.5000 0.5000
Te: 0.0000 0.0000 0.5000
Tb: 0.5000 0.2431 0.7569
Tb: 0.5000 0.7569 0.2431
Tb: 0.0000 0.2388 0.2388

***

No. 9
Computed, not measured: a geometry-optimized TbCdPt structure at the GGA-PBE level of DFT.

Cell: 4.7254 4.7254 4.7254 Å, 60.00 60.00 60.00°
Positions (direct):
Cd: 0.5000 0.5000 0.5000
Pt: 0.2500 0.2500 0.2500
Tb: 0.0000 0.0000 0.0000

Calculated values
- ΔE_f (meV/atom) = -781

***

No. 10
Computed, not measured: a geometry-optimized PaTl4Te5 structure at the GGA-PBE level of DFT.

Cell: 6.3460 8.2704 8.2704 Å, 81.54 67.44 67.44°
Positions (direct):
Te: 0.7371 0.1740 0.3539
Tl: 0.1967 0.1968 0.4119
Te: 0.9111 0.3539 0.8260
Pa: 0.0010 0.0000 0.0000
Tl: 0.3935 0.4119 0.8032
Te: 0.5010 0.0000 0.0000
Tl: 0.8054 0.8032 0.5881
Tl: 0.6086 0.5881 0.1968
Te: 0.2650 0.8260 0.6461
Te: 0.0910 0.6461 0.1740

***

No. 11
Computed, not measured: a geometry-optimized BaTl2InHg4 structure at the GGA-PBE level of DFT.

Cell: 5.5017 5.5017 9.5843 Å, 73.32 73.32 60.00°
Positions (direct):
Tl: 0.7459 0.7459 0.7623
Hg: 0.6123 0.6123 0.1632
In: 0.5000 0.5000 0.5000
Hg: 0.3877 0.3877 0.8368
Hg: 0.1328 0.1328 0.6017
Tl: 0.2541 0.2541 0.2377
Ba: 0.0000 0.0000 0.0000
Hg: 0.8672 0.8672 0.3983

Calculated values
- ΔE_f (meV/atom) = -192

***

No. 12
Computed, not measured: a geometry-optimized Si2HgAu structure at the GGA-PBE level of DFT.

Cell: 6.0018 6.0018 9.1700 Å, 40.59 40.59 29.10°
Positions (direct):
Si: 0.0204 0.0204 0.8408
Au: 0.7500 0.7500 0.7500
Si: 0.4796 0.4796 0.6592
Hg: 0.2500 0.2500 0.2500

***

no.,spin magnetization (μB per formula unit),uncorrected energy (eV/atom)
1,0.00,-6.35
2,0.00,-4.61
3,15.11,-9.43
4,0.00,-1.85
5,0.00,-1.45
6,0.13,-3.51
7,0.00,-6.84
8,0.00,-4.65
9,0.00,-4.64
10,0.00,-3.93
11,0.00,-1.52
12,0.00,-3.31